VASP calculation (GGA-PBE) on a relaxed Sc2FeRe crystal.

formation energy = 0.1584 eV per atom
V = 66 Å³ per cell
energy above the most stable polymorph in this dataset = 190.1 meV per atom

a b c (Å): 2.8331 4.2525 5.6054
angles (deg): 90.00 100.56 90.00
Space group P2/m (No. 10)
Symmetry-distinct sites (fractional):
Sc1 0.2375 0.0000 0.2524 x2
Fe1 0.0000 0.5000 0.5000 x1
Re1 0.5000 0.5000 0.0000 x1

***

VASP calculation (GGA-PBE) on a relaxed ScFe2Re crystal.

formation energy = 0.4925 eV per atom
V = 249 Å³ per cell

a b c (Å): 6.8558 6.8558 5.2993
angles (deg): 90.00 90.00 90.00
Space group I-42d (No. 122)
Symmetry-distinct sites (fractional):
Sc1 0.0000 0.0000 0.0000 x4
Fe1 0.2160 0.7500 0.6250 x8
Re1 0.0000 0.0000 0.5000 x4

***

VASP calculation (GGA-PBE) on a relaxed ScFe2Re crystal.

formation energy = 0.2736 eV per atom
V = 177 Å³ per cell

a b c (Å): 2.8220 2.8220 25.6474
angles (deg): 90.00 90.00 120.00
Space group R3m (No. 160, hexagonal axes)
Symmetry-distinct sites (fractional):
Sc1 0.0000 0.0000 0.0000 x3
Fe1 0.0000 0.0000 0.2463 x3
Fe2 0.0000 0.0000 0.5068 x3
Re1 0.0000 0.0000 0.7620 x3

***

VASP calculation (GGA-PBE) on a relaxed Sc2FeRe crystal.

formation energy = 0.1608 eV per atom
V = 133 Å³ per cell
energy above the most stable polymorph in this dataset = 192.5 meV per atom

a b c (Å): 5.8106 8.5031 2.8345
angles (deg): 90.00 107.73 90.00
Space group C2/m (No. 12)
Symmetry-distinct sites (fractional):
Sc1 0.2500 0.2500 0.0000 x4
Fe1 0.0000 0.0000 0.5000 x2
Re1 0.0000 0.5000 0.5000 x2

***

VASP calculation (GGA-PBE) on a relaxed ScFeRe crystal.

formation energy = -0.0117 eV per atom
V = 93 Å³ per cell
energy above the most stable polymorph in this dataset = 239.7 meV per atom

a b c (Å): 2.9250 2.9250 10.8648
angles (deg): 90.00 90.00 90.00
Space group I4mm (No. 107)
Symmetry-distinct sites (fractional):
Sc1 0.0000 0.0000 0.0000 x2
Fe1 0.0000 0.0000 0.3181 x2
Re1 0.0000 0.0000 0.6947 x2

***

VASP calculation (GGA-PBE) on a relaxed ScFe2Re crystal.

formation energy = 0.1821 eV per atom
V = 222 Å³ per cell

a b c (Å): 6.0572 6.0572 6.0572
angles (deg): 90.00 90.00 90.00
Space group F-43m (No. 216)
Symmetry-distinct sites (fractional):
Sc1 0.0000 0.0000 0.0000 x4
Fe1 0.0000 0.0000 0.5000 x4
Fe2 0.2500 0.2500 0.2500 x4
Re1 0.2500 0.2500 0.7500 x4

***

VASP calculation (GGA-PBE) on a relaxed ScFeRe2 crystal.

formation energy = -0.0050 eV per atom
V = 61 Å³ per cell
energy above the most stable polymorph in this dataset = 36.3 meV per atom

a b c (Å): 3.1042 3.1042 6.3626
angles (deg): 90.00 90.00 90.00
Space group P4mm (No. 99)
Symmetry-distinct sites (fractional):
Sc1 0.0000 0.0000 0.0000 x1
Fe1 0.5000 0.5000 0.2555 x1
Re1 0.0000 0.0000 0.4839 x1
Re2 0.5000 0.5000 0.7146 x1

***

VASP calculation (GGA-PBE) on a relaxed ScFeRe2 crystal.

formation energy = 0.0652 eV per atom
V = 61 Å³ per cell
energy above the most stable polymorph in this dataset = 106.4 meV per atom

a b c (Å): 2.7428 4.3719 5.1877
angles (deg): 90.00 100.55 90.00
Space group Pm (No. 6)
Symmetry-distinct sites (fractional):
Sc1 0.0000 0.0000 0.0000 x1
Fe1 0.7163 0.5000 0.2303 x1
Re1 0.2600 0.5000 0.7145 x1
Re2 0.5125 0.0000 0.5012 x1

***

DFT total energy / eV/atom: -8.235; -8.434; -8.653; -8.233; -9.092; -8.744; -9.928; -9.857